An optimized crystal structure of Rb3Ac2MoO6, computed with PBE with a Hubbard U.

```
12
Lattice="3.200 -5.547 0.000 3.200 5.547 0.000 -2.105 0.000 6.591" Properties=species:S:1:pos:R:3 pbc="T T T"
Rb 0.000 0.000 0.000
Rb 3.200 1.758 0.000
Rb 3.200 -1.758 0.000
Ac 2.148 3.693 3.296
Ac 2.148 -3.693 3.296
Mo 2.148 0.000 3.296
O 1.174 1.682 2.102
O 0.202 0.000 4.487
O 1.174 -1.682 2.102
O 3.121 1.682 4.489
O 4.093 0.000 2.104
O 3.121 -1.682 4.489
```

Properties
Final energy (eV/atom): -6.148
N(E_F) (states/eV per atom): 0.000
V (A^3/atom): 19.50